# 1
NpTl2I4Br2, relaxed, DFT PBE-GGA; calculated volume = 44.03 Å³/atom; DOS at the Fermi energy = 3.57 states/eV/cell; theoretical density = 5.5 g/cm3; SG = No. 12; formation energy (no corrections) = -0.853 eV per atom
1.0
-3.099 -7.636 -0.542
3.242 -5.712 -5.148
3.990 -6.606 3.175
Tl Np Br I
2 1 2 4
Cartesian
-0.567 -8.499 -0.862
4.700 -11.454 -1.653
-1.550 -3.818 -0.271
2.959 -15.917 -1.976
1.174 -4.037 -0.539
2.058 -12.344 0.600
1.686 -11.899 -3.541
2.447 -8.054 1.026
2.075 -7.609 -3.115

=====

# 2
Os2RhS, relaxed, DFT PBE-GGA; calculated volume = 19.13 Å³/atom; DOS at the Fermi energy = 8.83 states/eV/cell; theoretical density = 11.2 g/cm3; SG = No. 122; formation energy (no corrections) = 0.855 eV per atom
1.0
5.252 0.000 0.000
0.000 5.252 0.000
2.626 2.626 5.550
Os S Rh
4 2 2
Cartesian
6.565 6.379 4.163
3.753 1.313 1.388
1.499 3.939 1.388
3.939 4.125 4.163
2.626 5.252 2.775
2.626 2.626 0.000
0.000 0.000 0.000
5.252 2.626 2.775

=====

# 3
Os3Pb, relaxed, DFT PBE-GGA; calculated volume = 17.67 Å³/atom; DOS at the Fermi energy = 2.65 states/eV/cell; theoretical density = 18.3 g/cm3; SG = No. 47; energy of formation = 0.81 eV/atom
1.0
-2.599 0.591 -0.881
0.837 -1.326 -3.359
-2.056 -6.178 1.926
Os Pb
3 1
Cartesian
-1.028 -3.089 0.963
-2.308 -4.655 -0.783
-1.511 -2.258 -1.531
0.000 0.000 0.000

=====

# 4
BaTaIn, relaxed, DFT PBE-GGA; calculated volume = 26.52 Å³/atom; DOS at the Fermi energy = 2.30 states/eV/cell; energy above the lowest structure with this stoichiometry = 0 meV per atom; theoretical density = 9.0 g/cm3; SG = No. 107; energy of formation = 0.55 eV/atom
1.0
-0.649 -8.130 0.269
0.690 -7.519 3.094
-2.832 -0.352 1.416
Ta In Ba
1 1 1
Cartesian
-1.928 -5.162 2.028
-0.867 -10.815 2.748
-2.827 -0.374 1.418

=====

# 5
Tb2PrHf, relaxed, DFT PBE-GGA; calculated volume = 29.76 Å³/atom; DOS at the Fermi energy = 5.10 states/eV/cell; energy above the lowest structure with this stoichiometry = 0 meV per atom; theoretical density = 8.9 g/cm3; SG = No. 160; energy of formation = 0.13 eV/atom
1.0
3.467 0.000 0.000
1.734 3.003 0.000
1.734 1.001 11.433
Tb Pr Hf
2 1 1
Cartesian
1.734 1.001 2.604
1.734 1.001 8.819
3.467 2.002 5.723
3.467 2.002 0.004

=====

# 6
AcLa4SmDy2, relaxed, DFT PBE-GGA; calculated volume = 36.15 Å³/atom; DOS at the Fermi energy = 14.03 states/eV/cell; theoretical density = 7.2 g/cm3; SG = No. 12; energy of formation = 0.03 eV/atom
1.0
-0.586 1.359 5.048
-4.504 -3.327 3.114
6.905 -5.001 4.889
La Dy Sm Ac
4 2 1 1
Cartesian
4.151 -5.125 7.344
3.718 -3.393 4.086
-1.904 -3.577 8.965
-2.337 -1.844 5.707
1.371 -5.279 9.803
0.444 -1.690 3.248
0.000 0.000 0.000
0.907 -3.485 6.526

=====

# 7
HfBePt3, relaxed, DFT PBE-GGA; calculated volume = 23.61 Å³/atom; DOS at the Fermi energy = 2.91 states/eV/cell; energy above the lowest structure with this stoichiometry = 1591 meV per atom; theoretical density = 10.9 g/cm3; SG = No. 221; energy of formation = 1.05 eV/atom
1.0
-2.451 -2.392 -3.512
3.384 -3.551 0.057
-2.571 -2.394 3.424
Pt Be Hf
3 1 1
Cartesian
-1.225 -1.196 -1.756
1.692 -1.776 0.029
-1.285 -1.197 1.712
-0.819 -4.168 -0.016
0.000 0.000 0.000

=====

# 8
In2CuAs, relaxed, DFT PBE-GGA; calculated volume = 20.82 Å³/atom; DOS at the Fermi energy = 1.84 states/eV/cell; theoretical density = 7.3 g/cm3; SG = No. 47; energy of formation = 0.11 eV/atom
1.0
-3.232 -0.291 -1.430
0.262 -2.872 -0.010
-3.268 -0.324 7.453
As In Cu
1 2 1
Cartesian
-2.367 -0.944 1.146
-3.082 -1.030 7.177
-1.688 -0.892 3.998
-3.870 -2.542 4.868

=====

# 9
Ho3TmCd2, relaxed, DFT PBE-GGA; calculated volume = 27.67 Å³/atom; DOS at the Fermi energy = 7.00 states/eV/cell; energy above the lowest structure with this stoichiometry = 22 meV per atom; theoretical density = 8.9 g/cm3; SG = No. 123; energy of formation = -0.19 eV/atom
1.0
-2.694 -0.319 -2.322
2.250 -1.343 -2.426
-2.395 -12.008 4.429
Ho Cd Tm
3 2 1
Cartesian
-0.749 -3.753 1.384
-1.647 -8.255 3.044
0.000 0.000 0.000
-2.248 -10.987 1.372
-0.592 -2.683 -1.690
-1.420 -6.835 -0.159

=====

# 10
CrTc2Pt, relaxed, DFT PBE-GGA; calculated volume = 14.24 Å³/atom; DOS at the Fermi energy = 4.20 states/eV/cell; energy above the lowest structure with this stoichiometry = 98 meV per atom; theoretical density = 12.9 g/cm3; SG = No. 65; energy of formation = 0.00 eV/atom
1.0
-3.582 -4.809 0.738
3.716 -0.184 -2.948
1.022 -2.061 1.416
Tc Cr Pt
2 1 1
Cartesian
0.000 0.000 0.000
-1.280 -3.435 1.077
2.369 -1.122 -0.766
0.067 -2.496 -1.105

=====

# 11
Al2BiP, relaxed, DFT PBE-GGA; calculated volume = 26.24 Å³/atom; DOS at the Fermi energy = 0.00 states/eV/cell; energy above the lowest structure with this stoichiometry = 0 meV per atom; theoretical density = 4.7 g/cm3; SG = No. 122; energy of formation = -0.21 eV/atom
1.0
-5.465 -1.119 -2.137
0.460 -5.678 1.797
-4.834 -1.941 5.030
P Bi Al
2 2 4
Cartesian
-2.503 -3.398 -0.170
-3.439 -5.509 3.329
-6.401 -3.229 1.362
0.000 0.000 0.000
-5.480 -4.286 3.735
-4.296 -1.839 0.253
-8.028 -7.122 3.387
-1.875 -4.229 2.008

=====

# 12
Pm2SmAu3, relaxed, DFT PBE-GGA; calculated volume = 25.04 Å³/atom; DOS at the Fermi energy = 3.28 states/eV/cell; energy above the lowest structure with this stoichiometry = 0 meV per atom; theoretical density = 11.4 g/cm3; SG = No. 123; energy of formation = -0.79 eV/atom
1.0
3.672 0.000 0.000
0.000 3.672 0.000
0.000 0.000 11.140
Au Pm Sm
3 2 1
Cartesian
0.000 0.000 3.738
0.000 0.000 7.402
0.000 0.000 0.000
1.836 1.836 1.863
1.836 1.836 9.277
1.836 1.836 5.570

=====

Q: Which of these has the lowest theoretical density?
A: Al2BiP

=====

Q: Among the records above, which one has the highest theoretical density?
A: Os3Pb